Record 1
A plane-wave DFT calculation with PBE was carried out for a relaxed structure of YMnBr2.

Cell lengths 3.6771, 3.6771, 6.9106 Å; angles 90.00, 90.00, 90.00 degrees
Fractional positions:
Y  0.0000  0.0000  0.0000
Mn  0.0000  0.0000  0.5000
Br  0.5000  0.5000  0.2343
Br  0.5000  0.5000  0.7657

Values from the calculation:
Its mass density is 5.40 g cm⁻³. As for the energy above the most stable polymorph in this dataset: 362 meV per atom. Its raw formation energy is -0.37 eV/atom.

=====

Record 2
A plane-wave DFT calculation with PBE was carried out for a relaxed structure of YMnBr.

Cell lengths 6.7327, 6.7327, 6.7327 Å; angles 90.00, 90.00, 90.00 degrees
Fractional positions:
Y  0.0000  0.0000  0.0000
Y  0.0000  0.5000  0.5000
Y  0.5000  0.0000  0.5000
Y  0.5000  0.5000  0.0000
Mn  0.0000  0.0000  0.5000
Mn  0.0000  0.5000  0.0000
Mn  0.5000  0.0000  0.0000
Mn  0.5000  0.5000  0.5000
Br  0.2500  0.2500  0.2500
Br  0.2500  0.7500  0.7500
Br  0.7500  0.2500  0.7500
Br  0.7500  0.7500  0.2500

Values from the calculation:
Its mass density is 4.87 g cm⁻³. Its raw formation energy is 0.23 eV/atom.

=====

Record 3
A plane-wave DFT calculation with PBE was carried out for a relaxed structure of YMnBr2.

Cell lengths 10.7197, 3.6045, 7.5064 Å; angles 90.00, 120.67, 90.00 degrees
Fractional positions:
Y  0.0000  0.0000  0.0000
Y  0.5000  0.5000  0.0000
Mn  0.2188  0.5000  0.3481
Mn  0.7188  0.0000  0.3481
Br  0.3022  0.0000  0.0373
Br  0.4412  0.0000  0.6529
Br  0.8022  0.5000  0.0373
Br  0.9412  0.5000  0.6529

Values from the calculation:
Its mass density is 4.04 g cm⁻³. As for the energy above the most stable polymorph in this dataset: 135 meV per atom. Its raw formation energy is -0.60 eV/atom.

=====

Record 4
A plane-wave DFT calculation with PBE was carried out for a relaxed structure of YMnBr2.

Cell lengths 4.7720, 4.7720, 8.1580 Å; angles 90.00, 90.00, 90.00 degrees
Fractional positions:
Y  0.0000  0.0000  0.0000
Y  0.5000  0.5000  0.5000
Mn  0.0000  0.0000  0.5000
Mn  0.5000  0.5000  0.0000
Br  0.0000  0.5000  0.2500
Br  0.0000  0.5000  0.7500
Br  0.5000  0.0000  0.2500
Br  0.5000  0.0000  0.7500

Values from the calculation:
Its mass density is 5.43 g cm⁻³. As for the energy above the most stable polymorph in this dataset: 366 meV per atom. Its raw formation energy is -0.37 eV/atom.

=====

Record 5
A plane-wave DFT calculation with PBE was carried out for a relaxed structure of YMnBr2.

Cell lengths 3.6708, 6.2512, 10.1526 Å; angles 90.00, 90.00, 90.00 degrees
Fractional positions:
Y  0.0000  0.0000  0.0000
Y  0.5000  0.5000  0.0000
Mn  0.0000  0.0000  0.5000
Mn  0.5000  0.5000  0.5000
Br  0.0000  0.5000  0.2159
Br  0.0000  0.5000  0.7841
Br  0.5000  0.0000  0.2159
Br  0.5000  0.0000  0.7841

Values from the calculation:
Its mass density is 4.33 g cm⁻³. As for the energy above the most stable polymorph in this dataset: 389 meV per atom. Its raw formation energy is -0.35 eV/atom.

=====

Record 6
A plane-wave DFT calculation with PBE was carried out for a relaxed structure of YMnBr2.

Cell lengths 3.7558, 3.7558, 27.0729 Å; angles 90.00, 90.00, 120.00 degrees
Fractional positions:
Y  0.0000  0.0000  0.0000
Y  0.3333  0.6667  0.6667
Y  0.6667  0.3333  0.3333
Mn  0.0000  0.0000  0.5000
Mn  0.3333  0.6667  0.1667
Mn  0.6667  0.3333  0.8333
Br  0.0000  0.0000  0.1077
Br  0.0000  0.0000  0.8923
Br  0.3333  0.6667  0.5590
Br  0.3333  0.6667  0.7744
Br  0.6667  0.3333  0.2256
Br  0.6667  0.3333  0.4410

Values from the calculation:
Its mass density is 4.57 g cm⁻³. As for the energy above the most stable polymorph in this dataset: 363 meV per atom. Its raw formation energy is -0.37 eV/atom.

=====

Record 7
A plane-wave DFT calculation with PBE was carried out for a relaxed structure of YMnBr2.

Cell lengths 3.5093, 5.0265, 13.0937 Å; angles 90.00, 90.00, 90.00 degrees
Fractional positions:
Y  0.0000  0.0000  0.0000
Y  0.5000  0.5000  0.5000
Mn  0.0000  0.5000  0.3061
Mn  0.5000  0.0000  0.8061
Br  0.0000  0.0000  0.4717
Br  0.0000  0.5000  0.6801
Br  0.5000  0.0000  0.1801
Br  0.5000  0.5000  0.9717

Values from the calculation:
Its mass density is 4.37 g cm⁻³. As for the energy above the most stable polymorph in this dataset: 232 meV per atom. Its raw formation energy is -0.51 eV/atom.

=====

Record 8
A plane-wave DFT calculation with PBE was carried out for a relaxed structure of YMnBr2.

Cell lengths 3.6112, 3.6112, 29.0477 Å; angles 90.00, 90.00, 120.00 degrees
Fractional positions:
Y  0.0000  0.0000  0.0000
Y  0.3333  0.6667  0.6667
Y  0.6667  0.3333  0.3333
Mn  0.0000  0.0000  0.5000
Mn  0.3333  0.6667  0.1667
Mn  0.6667  0.3333  0.8333
Br  0.0000  0.0000  0.4031
Br  0.0000  0.0000  0.5969
Br  0.3333  0.6667  0.0698
Br  0.3333  0.6667  0.2635
Br  0.6667  0.3333  0.7365
Br  0.6667  0.3333  0.9302

Values from the calculation:
Its mass density is 4.61 g cm⁻³. As for the energy above the most stable polymorph in this dataset: 212 meV per atom. Its raw formation energy is -0.52 eV/atom.

=====

| no. | V (A^3/atom) |
| --- | --- |
| 1 | 23.4 |
| 2 | 25.4 |
| 3 | 31.2 |
| 4 | 23.2 |
| 5 | 29.1 |
| 6 | 27.6 |
| 7 | 28.9 |
| 8 | 27.3 |